(1)
# GaCuRh PBE optimized geometry
data_GaCuRh
_cell_length_a 3.026
_cell_length_b 3.026
_cell_length_c 8.882
_cell_angle_alpha 90.00
_cell_angle_beta 90.00
_cell_angle_gamma 90.00
_symmetry_space_group_name_H-M 'I 4 m m'
_symmetry_Int_Tables_number 107
_symmetry_space_group_name_Hall 'I 4 -2'
loop_
_atom_site_label
_atom_site_type_symbol
_atom_site_fract_x
_atom_site_fract_y
_atom_site_fract_z
_atom_site_occupancy
Ga1 Ga 0.000 0.000 0.000 1
Cu1 Cu 0.000 0.000 0.340 1
Rh1 Rh 0.000 0.000 0.659 1
# * ΔE_f: -0.307 eV per atom
# * calculated total energy: -0.3772 Ry/atom
# * polymorph energy (0 for the lowest one): 16 meV per atom
# * ρ: 9.643 Mg/m³
# * magnetic moment: 0.00 μB/f.u.


(2)
# Nd2TmH8 PBE optimized geometry
data_Nd2TmH8
_cell_length_a 3.781
_cell_length_b 5.203
_cell_length_c 11.310
_cell_angle_alpha 90.00
_cell_angle_beta 90.00
_cell_angle_gamma 90.00
_symmetry_space_group_name_H-M 'I m m m'
_symmetry_Int_Tables_number 71
_symmetry_space_group_name_Hall '-I 2 2'
loop_
_atom_site_label
_atom_site_type_symbol
_atom_site_fract_x
_atom_site_fract_y
_atom_site_fract_z
_atom_site_occupancy
Nd1 Nd 0.000 0.000 0.168 1
Tm1 Tm 0.000 0.000 0.500 1
H1 H 0.000 0.252 0.347 1
H2 H 0.000 0.254 0.000 1
H3 H 0.000 0.500 0.168 1
# * calculated total energy: -0.3158 Ry/atom
# * ρ: 6.948 Mg/m³
# * magnetic moment: 0.00 μB/f.u.